# PBE La3Pu2P2N4, relaxed
# formation energy from raw total energies: -13.08 eV/f.u.
# raw total energy: -9.150 eV per atom
data_La3Pu2P2N4
_chemical_formula_sum 'La6 Pu4 P4 N8'
_symmetry_space_group_name_H-M 'I 4/m m m'
_symmetry_Int_Tables_number 139
_symmetry_space_group_name_Hall '-I 4 2'
_cell_length_a 4.251
_cell_length_b 4.251
_cell_length_c 24.229
_cell_angle_alpha 90.00
_cell_angle_beta 90.00
_cell_angle_gamma 90.00
loop_
_atom_site_label
_atom_site_fract_x
_atom_site_fract_y
_atom_site_fract_z
La1 0.000 0.000 0.000
La2 0.000 0.000 0.183
Pu1 0.000 0.000 0.415
P1 0.000 0.000 0.302
N1 0.000 0.500 0.067